Ca2TlPb2, relaxed, DFT PBE; DFT formation energy = -11.7 kJ per mole of atoms; energy = -14.39 eV for the cell shown; distance to the lowest polymorph of the same formula = 240 meV per atom; calculated volume = 186.6 Å³/f.u.; SG = I4/mmm
1.0
-2.6999 2.6999 6.3994
2.6999 -2.6999 6.3994
2.6999 2.6999 -6.3994
Ca Tl Pb
2 1 2
Direct
0.2500 0.7500 0.5000 Ca
0.7500 0.2500 0.5000 Ca
0.0000 0.0000 0.0000 Tl
0.3890 0.3890 0.0000 Pb
0.6110 0.6110 0.0000 Pb


CaTlPb2, relaxed, DFT PBE; DFT formation energy = -22.5 kJ per mole of atoms; energy = -12.72 eV for the cell shown; calculated volume = 121.8 Å³/f.u.; SG = Imm2
1.0
-1.9505 2.7786 5.6178
1.9505 -2.7786 5.6178
1.9505 2.7786 -5.6178
Ca Tl Pb
1 1 2
Direct
0.0000 0.0000 0.0000 Ca
0.7523 0.2523 0.5000 Tl
0.2544 0.7544 0.5000 Pb
0.5034 0.5034 0.0000 Pb


CaTl2Pb2, relaxed, DFT PBE; DFT formation energy = -7.5 kJ per mole of atoms; energy = -29.07 eV for the cell shown; distance to the lowest polymorph of the same formula = 121 meV per atom; calculated volume = 160.9 Å³/f.u.; SG = P4/mbm
1.0
8.8855 0.0000 0.0000
0.0000 8.8855 0.0000
0.0000 0.0000 4.0753
Ca Tl Pb
2 4 4
Direct
0.0000 0.0000 0.0000 Ca
0.5000 0.5000 0.0000 Ca
0.1658 0.3342 0.5000 Tl
0.3342 0.8342 0.5000 Tl
0.6658 0.1658 0.5000 Tl
0.8342 0.6658 0.5000 Tl
0.1311 0.6311 0.0000 Pb
0.3689 0.1311 0.0000 Pb
0.6311 0.8689 0.0000 Pb
0.8689 0.3689 0.0000 Pb


CaTlPb2, relaxed, DFT PBE; DFT formation energy = -22.8 kJ per mole of atoms; energy = -12.73 eV for the cell shown; calculated volume = 122.8 Å³/f.u.; SG = Pmmm
1.0
3.7526 0.0000 0.0000
0.0000 4.7828 0.0000
0.0000 0.0000 6.8434
Ca Tl Pb
1 1 2
Direct
0.0000 0.0000 0.0000 Ca
0.0000 0.0000 0.5000 Tl
0.5000 0.5000 0.2477 Pb
0.5000 0.5000 0.7523 Pb


CaTlPb2, relaxed, DFT PBE; DFT formation energy = -23.7 kJ per mole of atoms; energy = -12.77 eV for the cell shown; calculated volume = 121.6 Å³/f.u.; SG = Pmm2
1.0
3.7407 0.0000 0.0000
0.0000 5.6957 0.0000
0.0000 0.0000 5.7073
Ca Tl Pb
1 1 2
Direct
0.0000 0.0000 0.0000 Ca
0.0000 0.5000 0.3972 Tl
0.5000 0.0000 0.5036 Pb
0.5000 0.5000 0.8968 Pb


CaTl7Pb4, relaxed, DFT PBE; DFT formation energy = -5.7 kJ per mole of atoms; energy = -34.10 eV for the cell shown; distance to the lowest polymorph of the same formula = 0 meV per atom; calculated volume = 367.9 Å³/f.u.; SG = P-3m1
1.0
5.4974 0.0000 0.0000
-2.7487 4.7609 0.0000
0.0000 0.0000 14.0573
Ca Tl Pb
1 7 4
Direct
0.0000 0.0000 0.0000 Ca
0.0000 0.0000 0.2537 Tl
0.0000 0.0000 0.5000 Tl
0.0000 0.0000 0.7463 Tl
0.3333 0.6667 0.6684 Tl
0.3333 0.6667 0.9148 Tl
0.6667 0.3333 0.0852 Tl
0.6667 0.3333 0.3316 Tl
0.3333 0.6667 0.1599 Pb
0.3333 0.6667 0.4090 Pb
0.6667 0.3333 0.5910 Pb
0.6667 0.3333 0.8401 Pb


What is the DFT formation energy in the third record?
-7.5 kJ per mole of atoms